GGA-PBE PHBr3, optimized geometry; E_tot = -14.53 eV per formula unit; SG = Ima2
1.0
-2.541 3.153 -7.143
0.174 -8.201 0.365
-3.914 -0.223 7.215
P H Br
2 2 6
Cartesian
-4.244 0.838 3.535 P
-0.921 -3.731 0.096 P
-1.695 -4.317 -0.937 H
-4.194 -0.121 2.493 H
-3.172 -3.175 5.940 Br
-0.475 -5.693 1.191 Br
-4.603 -5.587 2.554 Br
-2.620 -2.325 0.819 Br
-2.080 0.096 -2.560 Br
-4.421 -4.569 -2.563 Br

=====

GGA-PBE P2H4Br3, optimized geometry; E_tot = -30.34 eV per formula unit; SG = C2/c
1.0
9.496 -0.662 -0.474
0.224 6.830 0.242
0.224 2.429 6.388
P H Br
4 8 6
Cartesian
3.468 2.568 1.841 P
1.728 6.358 4.555 P
6.476 6.029 4.314 P
8.216 2.239 1.600 P
4.455 2.373 2.849 H
0.741 5.466 5.064 H
5.490 6.224 3.306 H
9.203 3.131 1.091 H
2.472 1.737 2.430 H
2.724 6.068 5.531 H
7.472 6.860 3.725 H
7.220 2.529 0.625 H
9.031 0.271 0.626 Br
5.661 7.586 5.863 Br
0.913 8.326 5.529 Br
4.283 1.011 0.292 Br
2.598 4.781 2.754 Br
7.346 3.816 3.402 Br

=====

GGA-PBE P2HBr, optimized geometry; E_tot = -10.19 eV per formula unit; SG = Fm-3m
1.0
4.394 0.018 0.947
1.398 -0.793 4.198
2.104 -3.850 0.979
P Br H
2 1 1
Cartesian
1.974 -1.156 1.531 P
5.922 -3.468 4.593 P
3.948 -2.312 3.062 Br
0.000 0.000 0.000 H

=====

GGA-PBE PH4Br2, optimized geometry; E_tot = -23.12 eV per formula unit; SG = P2_1/m
1.0
5.454 0.000 -2.014
0.000 6.888 0.000
-0.332 0.000 7.431
P H Br
2 8 4
Cartesian
3.385 1.722 0.642 P
1.736 5.166 4.775 P
2.626 2.884 0.934 H
3.727 1.722 -0.735 H
1.395 5.166 6.152 H
2.626 0.560 0.934 H
0.555 5.166 3.986 H
2.495 6.328 4.483 H
2.495 4.004 4.483 H
4.566 1.722 1.431 H
0.751 1.722 5.298 Br
4.371 5.166 0.119 Br
1.659 5.166 1.217 Br
3.463 1.722 4.200 Br

=====

GGA-PBE Pr6P2HBr3, optimized geometry; E_tot = -62.13 eV per formula unit; SG = C2/m
1.0
-2.005 -2.564 -6.279
-1.537 -3.601 5.890
-5.090 5.871 0.696
Pr P H Br
6 2 1 3
Cartesian
-6.900 0.113 -1.648 Pr
-3.689 -3.185 -0.130 Pr
-1.732 -0.407 1.955 Pr
-6.754 -0.212 2.165 Pr
-4.943 2.891 0.437 Pr
-1.879 -0.082 -1.858 Pr
-1.692 -3.258 1.858 P
-1.850 -2.908 -2.247 P
0.000 0.000 0.000 H
-4.167 -0.478 4.029 Br
-4.465 0.183 -3.722 Br
-4.316 -0.147 0.154 Br

=====

GGA-PBE Pr4PHBr2, optimized geometry; E_tot = -39.76 eV per formula unit; SG = P2/m
1.0
3.989 0.000 0.000
0.000 7.086 0.275
0.000 -2.348 7.290
Pr P H Br
4 1 1 2
Cartesian
1.995 1.335 1.503 Pr
1.995 3.403 6.063 Pr
0.000 0.095 5.884 Pr
0.000 4.642 1.681 Pr
0.000 0.000 0.000 P
1.995 3.543 0.137 H
1.995 -1.174 3.645 Br
0.000 2.369 3.783 Br